{
  "formula": "CaYPt",
  "functional": "meta-GGA SCAN",
  "state": "single point on PBEsol structure",
  "lattice": [[4.7317, 0.0000, 0.0000], [2.3659, 4.0978, 0.0000], [2.3659, 1.3659, 3.8635]],
  "species": ["Y", "Ca", "Pt"],
  "fractional_positions": [[0.2500, 0.2500, 0.2500], [0.0000, 0.0000, 0.0000], [0.5000, 0.5000, 0.5000]],
  "crystal_system": "cubic",
  "formation_energy_ev_per_atom": -0.2102,
  "space_group": "F-43m, No. 216"
}